Record 1
DFT (GGA-PBE) results for a relaxed structure of NaLiSm2Se4.

Cell and atoms, written as CIF:
```
data_NaLiSm2Se4
_cell_length_a 8.371
_cell_length_b 8.371
_cell_length_c 8.332
_cell_angle_alpha 119.83
_cell_angle_beta 119.83
_cell_angle_gamma 90.04
_symmetry_space_group_name_H-M 'P 1'
_symmetry_Int_Tables_number 1
_symmetry_space_group_name_Hall 'P 1'
loop_
_atom_site_label
_atom_site_type_symbol
_atom_site_fract_x
_atom_site_fract_y
_atom_site_fract_z
Sm1 Sm 0.500 0.000 0.500
Sm2 Sm 0.000 0.000 0.500
Sm3 Sm 0.500 0.000 0.000
Sm4 Sm 0.500 0.500 0.000
Se1 Se 0.258 0.756 0.007
Se2 Se 0.744 0.242 0.493
Se3 Se 0.742 0.244 0.993
Se4 Se 0.253 0.247 0.501
Se5 Se 0.253 0.247 0.999
Se6 Se 0.256 0.758 0.507
Se7 Se 0.747 0.753 0.499
Se8 Se 0.747 0.753 0.001
Na1 Na 0.000 0.500 0.500
Na2 Na 0.000 0.500 0.000
Li1 Li 0.500 0.500 0.500
Li2 Li 0.000 0.000 0.000
```

Results
Formation energy (no corrections) ... -1.676 eV per atom

---

Record 2
DFT (GGA-PBE) results for a relaxed structure of NaLiSn2Se4.

Cell and atoms, written as CIF:
```
data_NaLiSn2Se4
_cell_length_a 6.301
_cell_length_b 6.301
_cell_length_c 7.104
_cell_angle_alpha 120.00
_cell_angle_beta 120.00
_cell_angle_gamma 82.68
_symmetry_space_group_name_H-M 'P 1'
_symmetry_Int_Tables_number 1
_symmetry_space_group_name_Hall 'P 1'
loop_
_atom_site_label
_atom_site_type_symbol
_atom_site_fract_x
_atom_site_fract_y
_atom_site_fract_z
Se1 Se 0.466 0.981 0.000
Se2 Se 0.695 0.695 0.466
Se3 Se 0.230 0.230 0.534
Se4 Se 0.981 0.466 0.000
Sn1 Sn 0.146 0.646 0.500
Sn2 Sn 0.646 0.146 0.500
Li1 Li 0.390 0.390 0.000
Na1 Na 0.944 0.944 0.000
```

Results
Formation energy (no corrections) ... -0.667 eV per atom

---

Record 3
DFT (GGA-PBE) results for a relaxed structure of Na3LiSn3Se8.

Cell and atoms, written as CIF:
```
data_Na3LiSn3Se8
_cell_length_a 7.870
_cell_length_b 7.873
_cell_length_c 8.529
_cell_angle_alpha 117.55
_cell_angle_beta 90.01
_cell_angle_gamma 119.94
_symmetry_space_group_name_H-M 'P 1'
_symmetry_Int_Tables_number 1
_symmetry_space_group_name_Hall 'P 1'
loop_
_atom_site_label
_atom_site_type_symbol
_atom_site_fract_x
_atom_site_fract_y
_atom_site_fract_z
Se1 Se 0.239 0.478 0.711
Se2 Se 0.267 0.028 0.289
Se3 Se 0.733 0.972 0.711
Se4 Se 0.239 0.972 0.711
Se5 Se 0.761 0.522 0.289
Se6 Se 0.257 0.513 0.270
Se7 Se 0.743 0.487 0.730
Se8 Se 0.761 0.028 0.289
Sn1 Sn 0.500 0.000 0.500
Sn2 Sn 0.500 0.500 0.500
Sn3 Sn 0.000 0.500 0.500
Na1 Na 0.000 0.000 0.000
Na2 Na 0.000 0.500 0.000
Na3 Na 0.500 0.500 0.000
Li1 Li 0.000 0.000 0.500
```

Results
Formation energy (no corrections) ... -0.627 eV per atom

---

Repeat the third record exactly.
DFT (GGA-PBE) results for a relaxed structure of Na3LiSn3Se8.

Cell and atoms, written as CIF:
```
data_Na3LiSn3Se8
_cell_length_a 7.870
_cell_length_b 7.873
_cell_length_c 8.529
_cell_angle_alpha 117.55
_cell_angle_beta 90.01
_cell_angle_gamma 119.94
_symmetry_space_group_name_H-M 'P 1'
_symmetry_Int_Tables_number 1
_symmetry_space_group_name_Hall 'P 1'
loop_
_atom_site_label
_atom_site_type_symbol
_atom_site_fract_x
_atom_site_fract_y
_atom_site_fract_z
Se1 Se 0.239 0.478 0.711
Se2 Se 0.267 0.028 0.289
Se3 Se 0.733 0.972 0.711
Se4 Se 0.239 0.972 0.711
Se5 Se 0.761 0.522 0.289
Se6 Se 0.257 0.513 0.270
Se7 Se 0.743 0.487 0.730
Se8 Se 0.761 0.028 0.289
Sn1 Sn 0.500 0.000 0.500
Sn2 Sn 0.500 0.500 0.500
Sn3 Sn 0.000 0.500 0.500
Na1 Na 0.000 0.000 0.000
Na2 Na 0.000 0.500 0.000
Na3 Na 0.500 0.500 0.000
Li1 Li 0.000 0.000 0.500
```

Results
Formation energy (no corrections) ... -0.627 eV per atom

---

Question: What is the formation energy (no corrections) in the first record?
Answer: -1.676 eV per atom